Record 1
The following is a GGA-PBE calculation of a relaxed HgC5 crystal, from the Alexandria database.

The structure in POSCAR format:
```
HgC5
1.0
5.244 0.000 0.000
0.000 5.244 0.000
0.000 0.000 5.397
Hg C
1 5
Direct
0.500 0.500 0.000 Hg
0.000 0.000 0.738 C
0.000 0.000 0.262 C
0.500 0.500 0.615 C
0.500 0.500 0.385 C
0.000 0.000 0.500 C
```

Values from the calculation:
ΔE_f   2.11 eV per atom
Size of the total moment   0.00 μB per formula unit
Relative energy among the computed polymorphs   6.48 eV per formula unit

Record 2
The following is a GGA-PBE calculation of a relaxed Co2Tc crystal, from the Alexandria database.

The structure in POSCAR format:
```
Co2Tc
1.0
2.599 0.000 0.000
1.299 4.667 0.000
0.000 1.544 5.884
Co Tc
4 2
Direct
0.005 0.991 0.000 Co
0.607 0.787 0.722 Co
0.950 0.100 0.390 Co
0.661 0.678 0.332 Co
0.331 0.339 0.662 Tc
0.281 0.439 0.060 Tc
```

Values from the calculation:
ΔE_f   0.04 eV per atom
Size of the total moment   1.80 μB per formula unit
Relative energy among the computed polymorphs   0.14 eV per formula unit

Record 3
The following is a GGA-PBE calculation of a relaxed HgPbAu2 crystal, from the Alexandria database.

The structure in POSCAR format:
```
HgPbAu2
1.0
4.362 0.000 0.000
2.181 3.778 0.000
2.181 1.259 6.111
Hg Pb Au
1 1 2
Direct
0.672 0.672 0.985 Hg
0.495 0.495 0.516 Pb
0.078 0.078 0.765 Au
0.256 0.256 0.233 Au
```

Values from the calculation:
ΔE_f   0.06 eV per atom
Size of the total moment   0.00 μB per formula unit
Relative energy among the computed polymorphs   0.30 eV per formula unit

What is the formula in the first record?
HgC5